(1)
# Y2RhCl (PBE-GGA, relaxed)
# Final energy ... -6.247 eV/atom
# DOS at the Fermi energy ... 0.5236 states/eV/atom
# Mass density ... 5.8 g/cm3
# Formation energy without anion corrections ... -0.7153 eV per atom
data_Y2RhCl
_chemical_formula_sum 'Y4 Rh2 Cl2'
_space_group_name_H-M_alt 'I -4 m 2'
_space_group_IT_number 119
_space_group_name_Hall 'I -4 -2'
_cell_length_a 3.8992
_cell_length_b 3.8992
_cell_length_c 11.9525
_cell_angle_alpha 90.00
_cell_angle_beta 90.00
_cell_angle_gamma 90.00
loop_
_atom_site_label
_atom_site_type_symbol
_atom_site_fract_x
_atom_site_fract_y
_atom_site_fract_z
Y1 Y 0.0000 0.0000 0.0000
Y2 Y 0.0000 0.5000 0.2500
Rh1 Rh 0.0000 0.0000 0.5000
Cl1 Cl 0.0000 0.5000 0.7500

=====

(2)
# CaNpCl6 (PBE-GGA, relaxed)
# Final energy ... -5.158 eV/atom
# DOS at the Fermi energy ... 0.6437 states/eV/atom
# Mass density ... 3.0 g/cm3
# Formation energy without anion corrections ... -1.9050 eV per atom
data_CaNpCl6
_chemical_formula_sum 'Ca2 Np2 Cl12'
_space_group_name_H-M_alt 'C 1 2/m 1'
_space_group_IT_number 12
_space_group_name_Hall '-C 2y'
_cell_length_a 6.7506
_cell_length_b 12.3340
_cell_length_c 6.7403
_cell_angle_alpha 90.00
_cell_angle_beta 105.80
_cell_angle_gamma 90.00
loop_
_atom_site_label
_atom_site_type_symbol
_atom_site_fract_x
_atom_site_fract_y
_atom_site_fract_z
Ca1 Ca 0.0000 0.0000 0.0000
Np1 Np 0.0000 0.5000 0.5000
Cl1 Cl 0.2357 0.3565 0.7410
Cl2 Cl 0.2467 0.5000 0.2617

=====

(3)
# Ac5La2TbPr (PBE-GGA, relaxed)
# Final energy ... -4.167 eV/atom
# Formation energy from the elements ... 0.256 eV/atom
# DOS at the Fermi energy ... 1.6116 states/eV/atom
# Mass density ... 7.6 g/cm3
data_Ac5La2TbPr
_chemical_formula_sum 'Ac20 La8 Tb4 Pr4'
_space_group_name_H-M_alt 'I 4/m c m'
_space_group_IT_number 140
_space_group_name_Hall '-I 4 2c'
_cell_length_a 8.4753
_cell_length_b 8.4753
_cell_length_c 20.9497
_cell_angle_alpha 90.00
_cell_angle_beta 90.00
_cell_angle_gamma 90.00
loop_
_atom_site_label
_atom_site_type_symbol
_atom_site_fract_x
_atom_site_fract_y
_atom_site_fract_z
Ac1 Ac 0.0000 0.0000 0.0000
Ac2 Ac 0.2282 0.2718 0.1381
La1 La 0.1217 0.3783 0.5000
Tb1 Tb 0.0000 0.5000 0.2500
Pr1 Pr 0.0000 0.0000 0.2500

=====

(4)
# KZrBe2Ga (PBE-GGA, relaxed)
# Final energy ... -3.015 eV/atom
# Formation energy from the elements ... 1.010 eV/atom
# DOS at the Fermi energy ... 1.2605 states/eV/atom
# Mass density ... 2.6 g/cm3
data_KZrBe2Ga
_chemical_formula_sum 'K1 Zr1 Be2 Ga1'
_space_group_name_H-M_alt 'P 4/m m m'
_space_group_IT_number 123
_space_group_name_Hall '-P 4 2'
_cell_length_a 5.0819
_cell_length_b 5.0819
_cell_length_c 5.3801
_cell_angle_alpha 90.00
_cell_angle_beta 90.00
_cell_angle_gamma 90.00
loop_
_atom_site_label
_atom_site_type_symbol
_atom_site_fract_x
_atom_site_fract_y
_atom_site_fract_z
K1 K 0.0000 0.0000 0.0000
Zr1 Zr 0.5000 0.5000 0.5000
Be1 Be 0.0000 0.5000 0.5000
Ga1 Ga 0.5000 0.5000 0.0000

=====

(5)
# PuGeP (PBE-GGA, relaxed)
# Final energy ... -8.774 eV/atom
# Formation energy from the elements ... -0.654 eV/atom
# DOS at the Fermi energy ... 2.4499 states/eV/atom
# Mass density ... 9.9 g/cm3
data_PuGeP
_chemical_formula_sum 'Pu4 Ge4 P4'
_space_group_name_H-M_alt 'I 4/m m m'
_space_group_IT_number 139
_space_group_name_Hall '-I 4 2'
_cell_length_a 4.0806
_cell_length_b 4.0806
_cell_length_c 14.0542
_cell_angle_alpha 90.00
_cell_angle_beta 90.00
_cell_angle_gamma 90.00
loop_
_atom_site_label
_atom_site_type_symbol
_atom_site_fract_x
_atom_site_fract_y
_atom_site_fract_z
Pu1 Pu 0.0000 0.0000 0.1494
Ge1 Ge 0.0000 0.5000 0.0000
P1 P 0.0000 0.0000 0.3454